Entry 1:
Below is an optimized crystal structure of HfAsClF2, with properties calculated at the PBEsol level.

Cell and atoms, written as CIF:
```
data_HfAsClF2
_chemical_formula_sum 'Hf1 As1 Cl1 F2'
_space_group_name_H-M_alt 'P 4/m m m'
_space_group_IT_number 123
_space_group_name_Hall '-P 4 2'
_cell_length_a 3.976
_cell_length_b 3.976
_cell_length_c 5.501
_cell_angle_alpha 90.00
_cell_angle_beta 90.00
_cell_angle_gamma 90.00
loop_
_atom_site_label
_atom_site_fract_x
_atom_site_fract_y
_atom_site_fract_z
_atom_site_occupancy
Hf1 0.000 0.000 0.000 1
As1 0.000 0.000 0.500 1
Cl1 0.500 0.500 0.000 1
F1 0.000 0.500 0.500 1
```

Output
E_tot ... -0.1958 hartree per atom
Formation energy without anion corrections ... -1.0325 eV/atom
Total moment ... 0.00 Bohr magnetons per cell

***

Entry 2:
Below is an optimized crystal structure of BeCrRu2, with properties calculated at the PBEsol level.

Cell and atoms, written as CIF:
```
data_BeCrRu2
_chemical_formula_sum 'Be1 Cr1 Ru2'
_space_group_name_H-M_alt 'P 4/m m m'
_space_group_IT_number 123
_space_group_name_Hall '-P 4 2'
_cell_length_a 4.009
_cell_length_b 4.009
_cell_length_c 2.876
_cell_angle_alpha 90.00
_cell_angle_beta 90.00
_cell_angle_gamma 90.00
loop_
_atom_site_label
_atom_site_fract_x
_atom_site_fract_y
_atom_site_fract_z
_atom_site_occupancy
Be1 0.000 0.000 0.000 1
Cr1 0.500 0.500 0.000 1
Ru1 0.000 0.500 0.500 1
```

Output
E_tot ... -0.3194 hartree per atom
Total moment ... 0.00 Bohr magnetons per cell

***

Entry 3:
Below is an optimized crystal structure of BaNi2Mo, with properties calculated at the PBEsol level.

Cell and atoms, written as CIF:
```
data_BaNi2Mo
_chemical_formula_sum 'Ba2 Ni4 Mo2'
_space_group_name_H-M_alt 'I -4 m 2'
_space_group_IT_number 119
_space_group_name_Hall 'I -4 -2'
_cell_length_a 3.930
_cell_length_b 3.930
_cell_length_c 8.812
_cell_angle_alpha 90.00
_cell_angle_beta 90.00
_cell_angle_gamma 90.00
loop_
_atom_site_label
_atom_site_fract_x
_atom_site_fract_y
_atom_site_fract_z
_atom_site_occupancy
Ba1 0.000 0.000 0.000 1
Ni1 0.000 0.000 0.500 1
Ni2 0.000 0.500 0.750 1
Mo1 0.000 0.500 0.250 1
```

Output
E_tot ... -0.2004 hartree per atom
Total moment ... 3.27 Bohr magnetons per cell

***

Entry 4:
Below is an optimized crystal structure of Ba2AuCl, with properties calculated at the PBEsol level.

Cell and atoms, written as CIF:
```
data_Ba2AuCl
_chemical_formula_sum 'Ba2 Au1 Cl1'
_space_group_name_H-M_alt 'P 4/m m m'
_space_group_IT_number 123
_space_group_name_Hall '-P 4 2'
_cell_length_a 4.584
_cell_length_b 4.584
_cell_length_c 6.573
_cell_angle_alpha 90.00
_cell_angle_beta 90.00
_cell_angle_gamma 90.00
loop_
_atom_site_label
_atom_site_fract_x
_atom_site_fract_y
_atom_site_fract_z
_atom_site_occupancy
Ba1 0.000 0.000 0.000 1
Ba2 0.500 0.500 0.500 1
Au1 0.000 0.000 0.500 1
Cl1 0.500 0.500 0.000 1
```

Output
E_tot ... -0.1387 hartree per atom
Formation energy without anion corrections ... -1.2168 eV/atom
Total moment ... 0.00 Bohr magnetons per cell

***

Entry 5:
Below is an optimized crystal structure of SiAsPd2Ru, with properties calculated at the PBEsol level.

Cell and atoms, written as CIF:
```
data_SiAsPd2Ru
_chemical_formula_sum 'Si1 As1 Pd2 Ru1'
_space_group_name_H-M_alt 'P 4/m m m'
_space_group_IT_number 123
_space_group_name_Hall '-P 4 2'
_cell_length_a 4.505
_cell_length_b 4.505
_cell_length_c 4.618
_cell_angle_alpha 90.00
_cell_angle_beta 90.00
_cell_angle_gamma 90.00
loop_
_atom_site_label
_atom_site_fract_x
_atom_site_fract_y
_atom_site_fract_z
_atom_site_occupancy
Si1 0.000 0.000 0.000 1
As1 0.000 0.000 0.500 1
Pd1 0.000 0.500 0.500 1
Ru1 0.500 0.500 0.000 1
```

Output
E_tot ... -0.2031 hartree per atom
Formation energy without anion corrections ... 1.0616 eV/atom
Total moment ... 2.22 Bohr magnetons per cell

***

Entry 6:
Below is an optimized crystal structure of Cd3BiOs, with properties calculated at the PBEsol level.

Cell and atoms, written as CIF:
```
data_Cd3BiOs
_chemical_formula_sum 'Cd3 Bi1 Os1'
_space_group_name_H-M_alt 'P m -3 m'
_space_group_IT_number 221
_space_group_name_Hall '-P 4 2 3'
_cell_length_a 5.114
_cell_length_b 5.114
_cell_length_c 5.114
_cell_angle_alpha 90.00
_cell_angle_beta 90.00
_cell_angle_gamma 90.00
loop_
_atom_site_label
_atom_site_fract_x
_atom_site_fract_y
_atom_site_fract_z
_atom_site_occupancy
Cd1 0.000 0.000 0.500 1
Bi1 0.500 0.500 0.500 1
Os1 0.000 0.000 0.000 1
```

Output
E_tot ... -0.1141 hartree per atom
Total moment ... 1.39 Bohr magnetons per cell

***

Entry 7:
Below is an optimized crystal structure of Cu2SbC, with properties calculated at the PBEsol level.

Cell and atoms, written as CIF:
```
data_Cu2SbC
_chemical_formula_sum 'Cu8 Sb4 C4'
_space_group_name_H-M_alt 'F m -3 m'
_space_group_IT_number 225
_space_group_name_Hall '-F 4 2 3'
_cell_length_a 6.023
_cell_length_b 6.023
_cell_length_c 6.023
_cell_angle_alpha 90.00
_cell_angle_beta 90.00
_cell_angle_gamma 90.00
loop_
_atom_site_label
_atom_site_fract_x
_atom_site_fract_y
_atom_site_fract_z
_atom_site_occupancy
Cu1 0.250 0.250 0.250 1
Sb1 0.000 0.000 0.000 1
C1 0.000 0.000 0.500 1
```

Output
E_tot ... -0.1616 hartree per atom
Formation energy without anion corrections ... 1.3197 eV/atom
Total moment ... 0.00 Bohr magnetons per cell

***

Entry 8:
Below is an optimized crystal structure of Ta4OsRu, with properties calculated at the PBEsol level.

Cell and atoms, written as CIF:
```
data_Ta4OsRu
_chemical_formula_sum 'Ta16 Os4 Ru4'
_space_group_name_H-M_alt 'F -4 3 m'
_space_group_IT_number 216
_space_group_name_Hall 'F -4 2 3'
_cell_length_a 7.384
_cell_length_b 7.384
_cell_length_c 7.384
_cell_angle_alpha 90.00
_cell_angle_beta 90.00
_cell_angle_gamma 90.00
loop_
_atom_site_label
_atom_site_fract_x
_atom_site_fract_y
_atom_site_fract_z
_atom_site_occupancy
Ta1 0.125 0.125 0.125 1
Os1 0.000 0.000 0.500 1
Ru1 0.250 0.250 0.750 1
```

Output
E_tot ... -0.4267 hartree per atom
Total moment ... 0.02 Bohr magnetons per cell

***

Entry 9:
Below is an optimized crystal structure of MgZn2Ag2, with properties calculated at the PBEsol level.

Cell and atoms, written as CIF:
```
data_MgZn2Ag2
_chemical_formula_sum 'Mg2 Zn4 Ag4'
_space_group_name_H-M_alt 'P 4/m b m'
_space_group_IT_number 127
_space_group_name_Hall '-P 4 2ab'
_cell_length_a 7.343
_cell_length_b 7.343
_cell_length_c 3.081
_cell_angle_alpha 90.00
_cell_angle_beta 90.00
_cell_angle_gamma 90.00
loop_
_atom_site_label
_atom_site_fract_x
_atom_site_fract_y
_atom_site_fract_z
_atom_site_occupancy
Mg1 0.000 0.000 0.000 1
Zn1 0.159 0.341 0.500 1
Ag1 0.139 0.639 0.000 1
```

Output
E_tot ... -0.0873 hartree per atom
Total moment ... 0.00 Bohr magnetons per cell

***

Entry 10:
Below is an optimized crystal structure of Na3PRh, with properties calculated at the PBEsol level.

Cell and atoms, written as CIF:
```
data_Na3PRh
_chemical_formula_sum 'Na3 P1 Rh1'
_space_group_name_H-M_alt 'P m -3 m'
_space_group_IT_number 221
_space_group_name_Hall '-P 4 2 3'
_cell_length_a 5.107
_cell_length_b 5.107
_cell_length_c 5.107
_cell_angle_alpha 90.00
_cell_angle_beta 90.00
_cell_angle_gamma 90.00
loop_
_atom_site_label
_atom_site_fract_x
_atom_site_fract_y
_atom_site_fract_z
_atom_site_occupancy
Na1 0.000 0.000 0.500 1
P1 0.500 0.500 0.500 1
Rh1 0.000 0.000 0.000 1
```

Output
E_tot ... -0.0963 hartree per atom
Total moment ... 1.47 Bohr magnetons per cell

***

Entry 11:
Below is an optimized crystal structure of InSbSe, with properties calculated at the PBEsol level.

Cell and atoms, written as CIF:
```
data_InSbSe
_chemical_formula_sum 'In2 Sb2 Se2'
_space_group_name_H-M_alt 'I 4 m m'
_space_group_IT_number 107
_space_group_name_Hall 'I 4 -2'
_cell_length_a 3.840
_cell_length_b 3.840
_cell_length_c 10.136
_cell_angle_alpha 90.00
_cell_angle_beta 90.00
_cell_angle_gamma 90.00
loop_
_atom_site_label
_atom_site_fract_x
_atom_site_fract_y
_atom_site_fract_z
_atom_site_occupancy
In1 0.000 0.000 0.000 1
Sb1 0.000 0.000 0.657 1
Se1 0.000 0.000 0.381 1
```

Output
E_tot ... -0.1393 hartree per atom
Formation energy without anion corrections ... 0.0052 eV/atom
Total moment ... 0.00 Bohr magnetons per cell

***

Entry 12:
Below is an optimized crystal structure of InCu2Bi, with properties calculated at the PBEsol level.

Cell and atoms, written as CIF:
```
data_InCu2Bi
_chemical_formula_sum 'In4 Cu8 Bi4'
_space_group_name_H-M_alt 'F m -3 m'
_space_group_IT_number 225
_space_group_name_Hall '-F 4 2 3'
_cell_length_a 6.702
_cell_length_b 6.702
_cell_length_c 6.702
_cell_angle_alpha 90.00
_cell_angle_beta 90.00
_cell_angle_gamma 90.00
loop_
_atom_site_label
_atom_site_fract_x
_atom_site_fract_y
_atom_site_fract_z
_atom_site_occupancy
In1 0.000 0.000 0.000 1
Cu1 0.250 0.250 0.250 1
Bi1 0.000 0.000 0.500 1
```

Output
E_tot ... -0.1364 hartree per atom
Total moment ... 0.00 Bohr magnetons per cell